1.
Density functional theory data (PBE-GGA) for a geometry-optimized HfScCo2 structure.

Calculated values
E above lowest polymorph = 0.489 eV per atom

abc: 6.718 6.718 5.559
angles: 52.83 52.83 90.00
Fractional positions:
Sc (0.500, 0.500, 0.000)
Sc (0.250, 0.750, 0.500)
Hf (0.750, 0.250, 0.500)
Hf (0.000, 0.000, 0.000)
Co (0.875, 0.877, 0.750)
Co (0.375, 0.373, 0.750)
Co (0.123, 0.625, 0.250)
Co (0.627, 0.125, 0.250)

***

2.
Density functional theory data (PBE-GGA) for a geometry-optimized Re2NiH2 structure.

Calculated values
E above lowest polymorph = 0.000 eV per atom

abc: 3.078 3.078 5.373
angles: 73.36 73.36 90.00
Fractional positions:
Re (0.363, 0.363, 0.274)
Re (0.637, 0.637, 0.726)
Ni (0.000, 0.000, 0.000)
H (0.750, 0.250, 0.500)
H (0.250, 0.750, 0.500)

***

3.
Density functional theory data (PBE-GGA) for a geometry-optimized CeN4 structure.

Calculated values
Raw formation energy = 11.4 eV/f.u.

abc: 4.609 4.609 4.609
angles: 90.00 90.00 90.00
Each line ends with the local moment (μB).
Fractional positions:
N (0.000, 0.500, 0.500)  1.10
N (0.000, 0.000, 0.000)  1.89
N (0.500, 0.500, 0.000)  1.10
N (0.500, 0.000, 0.500)  1.10
Ce (0.500, 0.500, 0.500)  0.31